Entry from Alexandria: an optimized crystal structure of Hg8O6F (PBE-GGA).

Unit cell a=7.204 b=7.204 c=7.204 alpha=100.25 beta=100.25 gamma=100.25
Sites, in units of the cell vectors:
O1 0.152 0.362 0.564
Hg1 0.746 0.531 0.143
Hg2 0.143 0.746 0.531
Hg3 0.531 0.143 0.746
F1 0.000 0.000 0.000
Hg4 0.760 0.760 0.760
O2 0.436 0.848 0.638
O3 0.362 0.564 0.152
Hg5 0.857 0.254 0.469
Hg6 0.469 0.857 0.254
Hg7 0.254 0.469 0.857
Hg8 0.240 0.240 0.240
O4 0.638 0.436 0.848
O5 0.564 0.152 0.362
O6 0.848 0.638 0.436

Values from the calculation:
* volume: 353 Å³/cell
* raw total energy: -37.87 eV per cell
* DOS(E_F): 0.22 states/eV per atom